Arrangement a

The following is a DFT calculation (SCAN) of a PBEsol-optimized structure of YZrTa2.

Calculated volume = 81.7 Å³ per cell

Cell: 2.9003 5.7105 5.8255 Å, 116.46 99.27 100.32°
Atoms (fractional coordinates):
Ta: 0.5000 0.5000 0.5000
Ta: 0.0000 0.0000 0.5000
Zr: 0.0000 0.5000 0.0000
Y: 0.5000 0.0000 0.0000


Arrangement b

The following is a DFT calculation (SCAN) of a PBEsol-optimized structure of YZrTa2.

Calculated volume = 85.2 Å³ per cell

Cell: 3.4853 4.9447 5.7938 Å, 115.26 107.50 90.00°
Atoms (fractional coordinates):
Zr: 0.2585 0.7585 0.5170
Ta: 0.0262 0.0262 0.0524
Ta: 0.7247 0.2247 0.4495
Y: 0.4906 0.4906 0.9812


Arrangement c

The following is a DFT calculation (SCAN) of a PBEsol-optimized structure of YZrTa2.

Calculated volume = 83.0 Å³ per cell

Cell: 4.8958 4.8958 4.8958 Å, 60.00 60.00 60.00°
Atoms (fractional coordinates):
Ta: 0.7500 0.7500 0.7500
Ta: 0.2500 0.2500 0.2500
Zr: 0.5000 0.5000 0.5000
Y: 0.0000 0.0000 0.0000


Arrangement d

The following is a DFT calculation (SCAN) of a PBEsol-optimized structure of YZrTa2.

Calculated volume = 83.7 Å³ per cell

Cell: 2.9149 4.8147 5.9618 Å, 90.00 90.00 90.00°
Atoms (fractional coordinates):
Ta: 0.0000 0.0000 0.2668
Ta: 0.0000 0.0000 0.7332
Zr: 0.5000 0.5000 0.5000
Y: 0.5000 0.5000 0.0000


Most stable of them? arrangement b.


Arrangement a

The following is a DFT calculation (SCAN) of a PBEsol-optimized structure of YZrTa2.

Calculated volume = 82.0 Å³ per cell

Cell: 3.3942 4.8257 5.8085 Å, 114.54 106.99 90.00°
Atoms (fractional coordinates):
Ta: 0.2565 0.2565 0.5129
Ta: 0.7435 0.7435 0.4871
Zr: 0.0000 0.5000 0.0000
Y: 0.5000 0.0000 0.0000


Arrangement b

The following is a DFT calculation (SCAN) of a PBEsol-optimized structure of YZrTa2.

Calculated volume = 83.1 Å³ per cell

Cell: 2.9839 5.2759 5.2759 Å, 90.00 90.00 90.00°
Atoms (fractional coordinates):
Ta: 0.0000 0.5000 0.0000
Ta: 0.0000 0.0000 0.5000
Y: 0.5000 0.5000 0.5000
Zr: 0.5000 0.0000 0.0000


Most stable of them? arrangement a.


Arrangement a

The following is a DFT calculation (SCAN) of a PBEsol-optimized structure of YZr2Ta.

Calculated volume = 90.0 Å³ per cell

Cell: 3.0369 3.0369 9.7605 Å, 90.00 90.00 90.00°
Atoms (fractional coordinates):
Zr: 0.5000 0.5000 0.2617
Zr: 0.0000 0.0000 0.0241
Ta: 0.0000 0.0000 0.4875
Y: 0.5000 0.5000 0.7268


Arrangement b

The following is a DFT calculation (SCAN) of a PBEsol-optimized structure of YZr2Ta.

Calculated volume = 92.1 Å³ per cell

Cell: 3.6430 3.6430 6.9422 Å, 90.00 90.00 90.00°
Atoms (fractional coordinates):
Zr: 0.5000 0.5000 0.2721
Zr: 0.0000 0.0000 0.0419
Y: 0.5000 0.5000 0.7333
Ta: 0.0000 0.0000 0.4527


Most stable of them? arrangement b.


Arrangement a

The following is a DFT calculation (SCAN) of a PBEsol-optimized structure of YZr2Ta.

Calculated volume = 89.2 Å³ per cell

Cell: 3.0658 4.7879 6.2352 Å, 90.00 102.97 90.00°
Atoms (fractional coordinates):
Y: 0.0000 0.5000 0.5000
Zr: 0.7045 0.0000 0.7812
Zr: 0.2955 0.0000 0.2188
Ta: 0.5000 0.5000 0.0000


Arrangement b

The following is a DFT calculation (SCAN) of a PBEsol-optimized structure of YZr2Ta.

Calculated volume = 87.3 Å³ per cell

Cell: 4.8414 4.8414 5.0575 Å, 118.60 118.60 90.00°
Atoms (fractional coordinates):
Ta: 0.5000 0.5000 0.0000
Zr: 0.7500 0.2500 0.5000
Zr: 0.2500 0.7500 0.5000
Y: 0.0000 0.0000 0.0000


Arrangement c

The following is a DFT calculation (SCAN) of a PBEsol-optimized structure of YZr2Ta.

Calculated volume = 89.8 Å³ per cell

Cell: 3.0978 4.9690 6.0383 Å, 90.00 104.85 90.00°
Atoms (fractional coordinates):
Zr: 0.0748 0.0000 0.0255
Zr: 0.6857 0.5000 0.2475
Y: 0.4274 0.5000 0.7297
Ta: 0.8121 0.0000 0.4973


Most stable of them? arrangement c.


Arrangement a

The following is a DFT calculation (SCAN) of a PBEsol-optimized structure of ZrTa2.

Calculated volume = 114.1 Å³ per cell

Cell: 3.3201 5.5279 6.9182 Å, 108.60 90.00 107.48°
Atoms (fractional coordinates):
Ta: 0.5028 0.0056 0.7240
Ta: 0.4972 0.9944 0.2760
Ta: 0.1653 0.3305 0.5733
Ta: 0.8347 0.6695 0.4267
Zr: 0.8392 0.6785 0.9144
Zr: 0.1608 0.3215 0.0856


Arrangement b

The following is a DFT calculation (SCAN) of a PBEsol-optimized structure of ZrTa2.

Calculated volume = 468.9 Å³ per cell

Cell: 5.5296 5.5296 17.7087 Å, 90.00 90.00 120.00°
Atoms (fractional coordinates):
Ta: 0.5000 0.5000 0.0000
Ta: 0.1621 0.3242 0.7500
Ta: 0.5000 0.5000 0.5000
Ta: 0.0000 0.5000 0.0000
Ta: 0.3333 0.6667 0.8738
Ta: 0.8379 0.1621 0.2500
Ta: 0.3242 0.1621 0.2500
Ta: 0.3333 0.6667 0.6262
Ta: 0.0000 0.5000 0.5000
Ta: 0.8379 0.6758 0.2500
Ta: 0.1621 0.8379 0.7500
Ta: 0.5000 0.0000 0.0000
Ta: 0.6758 0.8379 0.7500
Ta: 0.6667 0.3333 0.3738
Ta: 0.5000 0.0000 0.5000
Ta: 0.6667 0.3333 0.1262
Zr: 0.6667 0.3333 0.8434
Zr: 0.0000 0.0000 0.0937
Zr: 0.0000 0.0000 0.5937
Zr: 0.6667 0.3333 0.6566
Zr: 0.3333 0.6667 0.3434
Zr: 0.3333 0.6667 0.1566
Zr: 0.0000 0.0000 0.9063
Zr: 0.0000 0.0000 0.4063


Most stable of them? arrangement b.


Arrangement a

The following is a DFT calculation (SCAN) of a PBEsol-optimized structure of ZrTa2.

Calculated volume = 57.3 Å³ per cell

Cell: 3.3373 3.3373 5.6617 Å, 107.14 107.14 90.00°
Atoms (fractional coordinates):
Ta: 0.8197 0.8197 0.6394
Ta: 0.1803 0.1803 0.3606
Zr: 0.5000 0.5000 0.0000


Arrangement b

The following is a DFT calculation (SCAN) of a PBEsol-optimized structure of ZrTa2.

Calculated volume = 117.6 Å³ per cell

Cell: 5.4985 5.4985 5.4985 Å, 60.00 60.00 60.00°
Atoms (fractional coordinates):
Ta: 0.6250 0.6250 0.1250
Ta: 0.6250 0.6250 0.6250
Ta: 0.1250 0.6250 0.6250
Ta: 0.6250 0.1250 0.6250
Zr: 0.0000 0.0000 0.0000
Zr: 0.2500 0.2500 0.2500


Most stable of them? arrangement b.


Arrangement a

The following is a DFT calculation (SCAN) of a PBEsol-optimized structure of TcTe.

Calculated volume = 72.5 Å³ per cell

Cell: 3.3135 4.2114 5.4554 Å, 90.00 107.68 90.00°
Atoms (fractional coordinates):
Te: 0.8520 0.2500 0.7040
Te: 0.1480 0.7500 0.2960
Tc: 0.4150 0.7500 0.8300
Tc: 0.5850 0.2500 0.1700


Arrangement b

The following is a DFT calculation (SCAN) of a PBEsol-optimized structure of TcTe.

Calculated volume = 123.6 Å³ per cell

Cell: 3.1242 6.2175 7.0222 Å, 111.08 102.85 90.00°
Atoms (fractional coordinates):
Tc: 0.6827 0.3679 0.3654
Tc: 0.2800 0.7058 0.5600
Tc: 0.6295 0.7547 0.2590
Te: 0.9555 0.8332 0.9109
Te: 0.0266 0.3879 0.0532
Te: 0.2591 0.1172 0.5182


Arrangement c

The following is a DFT calculation (SCAN) of a PBEsol-optimized structure of TcTe.

Calculated volume = 74.1 Å³ per cell

Cell: 4.7154 4.7154 4.7154 Å, 60.00 60.00 60.00°
Atoms (fractional coordinates):
Tc: 0.5000 0.5000 0.5000
Tc: 0.7500 0.7500 0.7500
Te: 0.0000 0.0000 0.0000
Te: 0.2500 0.2500 0.2500


Most stable of them? arrangement b.


Arrangement a

The following is a DFT calculation (SCAN) of a PBEsol-optimized structure of Tc3Te.

Calculated volume = 62.7 Å³ per cell

Cell: 2.9685 4.5988 4.8623 Å, 97.13 107.77 90.00°
Atoms (fractional coordinates):
Tc: 0.7648 0.2778 0.5296
Tc: 0.2352 0.7222 0.4704
Tc: 0.5000 0.5000 0.0000
Te: 0.0000 0.0000 0.0000


Arrangement b

The following is a DFT calculation (SCAN) of a PBEsol-optimized structure of Tc3Te.

Calculated volume = 63.3 Å³ per cell

Cell: 2.9404 2.9404 8.4514 Å, 90.00 90.00 120.00°
Atoms (fractional coordinates):
Tc: 0.3333 0.6667 0.0000
Tc: 0.0000 0.0000 0.2400
Tc: 0.0000 0.0000 0.7600
Te: 0.3333 0.6667 0.5000


Most stable of them? arrangement a.